Material: MnVP2O8
Method: DFT, PBE+U
State: relaxed

Cell: 4.898 5.926 10.079 Å, 90.00 91.45 90.00°
Space group P2_1/m (No. 11)
Unique sites:
Mn1 0.051 0.250 0.224 x2
V1 0.440 0.250 0.716 x2
P1 0.125 0.750 0.105 x2
P2 0.419 0.750 0.585 x2
O1 0.152 0.750 0.956 x2
O2 0.178 0.250 0.857 x2
O3 0.274 0.250 0.401 x2
O4 0.284 0.541 0.659 x4
O5 0.286 0.552 0.177 x4
O6 0.322 0.750 0.438 x2

Results
* E: -7.540 eV per atom
* offset from the most stable computed form: 0.000 eV per atom
* calculated density: 3.36 g cm⁻³
* total moment: 6.0 μB per formula unit